An optimized crystal structure of LaTl2As2. Source: Alexandria, functional PBE.

a = 4.3137 Å, b = 4.3137 Å, c = 8.2380 Å
α = 74.82°, β = 74.82°, γ = 90.00°
Atoms (fractional coordinates):
Tl  0.7500  0.2500  0.5000
Tl  0.2500  0.7500  0.5000
As  0.4192  0.4192  0.1616
As  0.5808  0.5808  0.8384
La  0.0000  0.0000  0.0000

## Properties
The density of states at the Fermi level is 0.387 states/eV per atom. Its energy above the most stable polymorph in this dataset is 0 meV/atom. The space group is No. 139. The formation enthalpy at 0 K comes out at -0.485 eV per atom.